A relaxed structure of KGdPb2, computed with GGA-PBE.

abc: 5.8799 5.8799 3.6576
angles: 90.00 90.00 90.00
Space group P4/mmm (No. 123)
Inequivalent atoms, fractional coordinates:
K 0.0000 0.0000 0.0000 [1 per cell]
Gd 0.5000 0.5000 0.0000 [1 per cell]
Pb 0.0000 0.5000 0.5000 [2 per cell]

Energy above the most stable polymorph in this dataset = 0.41 eV per formula unit
Total magnetization = 7.15 Bohr magnetons per cell
Total DFT energy (no corrections) = -23.5 eV/f.u.
Crystal system = tetragonal